No. 1
{"formula": "LiMgTl", "functional": "SCAN", "state": "single point on PBEsol structure", "delta_e_f_ev_per_atom": -0.268, "total_energy_ev_per_atom": -26.842, "e_above_lowest_polymorph_mev_per_atom": 41, "lattice": [[0.000, 2.602, 4.556], [2.597, 0.000, 4.556], [2.597, 2.602, 0.000]], "species": ["Li", "Mg", "Tl"], "fractional_positions": [[0.000, 0.000, 0.000], [0.669, 0.669, 0.331], [0.341, 0.341, 0.659]]}

No. 2
{"formula": "LiMg2Tl", "functional": "SCAN", "state": "single point on PBEsol structure", "delta_e_f_ev_per_atom": -0.206, "total_energy_ev_per_atom": -21.380, "e_above_lowest_polymorph_mev_per_atom": 55, "lattice": [[-2.168, 2.174, 4.455], [2.168, -2.174, 4.455], [2.168, 2.174, -4.455]], "species": ["Li", "Mg", "Mg", "Tl"], "fractional_positions": [[0.000, 0.000, 0.000], [0.499, 0.499, 0.000], [0.750, 0.250, 0.500], [0.249, 0.749, 0.500]]}

No. 3
{"formula": "Li2MgW", "functional": "SCAN", "state": "single point on PBEsol structure", "delta_e_f_ev_per_atom": 0.598, "total_energy_ev_per_atom": -19.262, "lattice": [[-1.307, 2.443, 4.849], [1.307, -2.443, 4.849], [1.307, 2.443, -4.849]], "species": ["Li", "Li", "Mg", "W"], "fractional_positions": [[0.000, 0.000, 0.000], [0.777, 0.277, 0.500], [0.533, 0.533, 0.000], [0.264, 0.764, 0.500]]}

No. 4
{"formula": "Li2MgW", "functional": "SCAN", "state": "single point on PBEsol structure", "delta_e_f_ev_per_atom": 0.567, "total_energy_ev_per_atom": -19.294, "lattice": [[4.890, -1.280, 0.000], [4.890, 1.280, 0.000], [-0.687, 0.000, 5.319]], "species": ["Li", "Li", "Mg", "W"], "fractional_positions": [[0.000, 0.000, 0.000], [0.748, 0.748, 0.246], [0.250, 0.250, 0.714], [0.500, 0.500, 0.496]]}

No. 5
{"formula": "LiMg2W", "functional": "SCAN", "state": "single point on PBEsol structure", "delta_e_f_ev_per_atom": 0.621, "total_energy_ev_per_atom": -19.886, "e_above_lowest_polymorph_mev_per_atom": 274, "lattice": [[-1.390, 2.467, 4.784], [1.390, -2.467, 4.784], [1.390, 2.467, -4.784]], "species": ["Li", "Mg", "Mg", "W"], "fractional_positions": [[0.000, 0.000, 0.000], [0.232, 0.732, 0.500], [0.768, 0.268, 0.500], [0.500, 0.500, 0.000]]}

No. 6
{"formula": "LiMg2W", "functional": "SCAN", "state": "single point on PBEsol structure", "delta_e_f_ev_per_atom": 0.463, "total_energy_ev_per_atom": -20.043, "e_above_lowest_polymorph_mev_per_atom": 116, "lattice": [[5.058, 0.000, 0.000], [0.000, 5.058, 0.000], [0.000, 0.000, 2.740]], "species": ["Li", "Mg", "Mg", "W"], "fractional_positions": [[0.000, 0.000, 0.000], [0.000, 0.500, 0.500], [0.500, 0.000, 0.500], [0.500, 0.500, 0.000]]}